<a>
# KUSb2, relaxed, DFT PBE
data_KUSb2
_cell_length_a 3.536
_cell_length_b 3.536
_cell_length_c 9.503
_cell_angle_alpha 90.00
_cell_angle_beta 90.00
_cell_angle_gamma 90.00
_space_group_name_H-M_alt 'P 1'
_space_group_IT_number 1
_space_group_name_Hall 'P 1'
loop_
_atom_site_label
_atom_site_type_symbol
_atom_site_fract_x
_atom_site_fract_y
_atom_site_fract_z
Sb1 Sb 0.000 0.000 0.222
U1 U 0.500 0.500 0.000
K1 K 0.500 0.500 0.500
Sb2 Sb 0.000 0.000 0.778
# SG = No. 123
# N(E_F) = 4.854 states/eV/cell



<b>
# KUSb2, relaxed, DFT PBE
data_KUSb2
_cell_length_a 4.556
_cell_length_b 4.556
_cell_length_c 8.491
_cell_angle_alpha 74.44
_cell_angle_beta 74.44
_cell_angle_gamma 60.00
_space_group_name_H-M_alt 'P 1'
_space_group_IT_number 1
_space_group_name_Hall 'P 1'
loop_
_atom_site_label
_atom_site_type_symbol
_atom_site_fract_x
_atom_site_fract_y
_atom_site_fract_z
U1 U 0.000 0.000 0.000
Sb1 Sb 0.730 0.730 0.809
K1 K 0.500 0.500 0.500
Sb2 Sb 0.270 0.270 0.191
# SG = No. 166
# N(E_F) = 4.434 states/eV/cell



Which of them is the most stable? Correct choice: <a>.



<a>
# KSb2W, relaxed, DFT PBE
data_KSb2W
_cell_length_a 3.024
_cell_length_b 3.024
_cell_length_c 11.901
_cell_angle_alpha 90.00
_cell_angle_beta 90.00
_cell_angle_gamma 103.14
_space_group_name_H-M_alt 'P 1'
_space_group_IT_number 1
_space_group_name_Hall 'P 1'
loop_
_atom_site_label
_atom_site_type_symbol
_atom_site_fract_x
_atom_site_fract_y
_atom_site_fract_z
W1 W 0.000 0.000 0.481
K1 K 0.500 0.500 0.729
Sb1 Sb 0.000 0.000 0.986
Sb2 Sb 0.500 0.500 0.304
# SG = No. 35
# N(E_F) = 2.766 states/eV/cell



<b>
# KSb2W, relaxed, DFT PBE
data_KSb2W
_cell_length_a 3.627
_cell_length_b 3.627
_cell_length_c 9.614
_cell_angle_alpha 79.15
_cell_angle_beta 79.15
_cell_angle_gamma 59.96
_space_group_name_H-M_alt 'P 1'
_space_group_IT_number 1
_space_group_name_Hall 'P 1'
loop_
_atom_site_label
_atom_site_type_symbol
_atom_site_fract_x
_atom_site_fract_y
_atom_site_fract_z
Sb1 Sb 0.981 0.981 0.056
K1 K 0.751 0.751 0.750
W1 W 0.583 0.583 0.250
Sb2 Sb 0.185 0.185 0.444
# SG = No. 8
# N(E_F) = 1.132 states/eV/cell



<c>
# KSb2W, relaxed, DFT PBE
data_KSb2W
_cell_length_a 5.681
_cell_length_b 3.026
_cell_length_c 5.764
_cell_angle_alpha 89.98
_cell_angle_beta 90.00
_cell_angle_gamma 90.00
_space_group_name_H-M_alt 'P 1'
_space_group_IT_number 1
_space_group_name_Hall 'P 1'
loop_
_atom_site_label
_atom_site_type_symbol
_atom_site_fract_x
_atom_site_fract_y
_atom_site_fract_z
Sb1 Sb 0.000 0.250 0.921
K1 K 0.500 0.750 0.813
W1 W 0.000 0.250 0.444
Sb2 Sb 0.500 0.251 0.323
# SG = No. 25
# N(E_F) = 3.172 states/eV/cell



<d>
# KSb2W, relaxed, DFT PBE
data_KSb2W
_cell_length_a 3.021
_cell_length_b 3.021
_cell_length_c 11.770
_cell_angle_alpha 90.00
_cell_angle_beta 90.00
_cell_angle_gamma 90.00
_space_group_name_H-M_alt 'P 1'
_space_group_IT_number 1
_space_group_name_Hall 'P 1'
loop_
_atom_site_label
_atom_site_type_symbol
_atom_site_fract_x
_atom_site_fract_y
_atom_site_fract_z
K1 K 0.500 0.500 0.733
Sb1 Sb 0.000 0.000 0.987
W1 W 0.000 0.000 0.476
Sb2 Sb 0.500 0.500 0.304
# SG = No. 99
# N(E_F) = 3.413 states/eV/cell



Which of them is the most stable? Correct choice: <b>.



<a>
# KSb2W, relaxed, DFT PBE
data_KSb2W
_cell_length_a 6.002
_cell_length_b 6.002
_cell_length_c 6.002
_cell_angle_alpha 137.19
_cell_angle_beta 137.19
_cell_angle_gamma 62.14
_space_group_name_H-M_alt 'P 1'
_space_group_IT_number 1
_space_group_name_Hall 'P 1'
loop_
_atom_site_label
_atom_site_type_symbol
_atom_site_fract_x
_atom_site_fract_y
_atom_site_fract_z
Sb1 Sb 0.250 0.750 0.500
W1 W 0.500 0.500 0.000
K1 K 0.750 0.250 0.500
Sb2 Sb 0.000 0.000 0.000
# SG = No. 119
# N(E_F) = 2.557 states/eV/cell



<b>
# KSb2W, relaxed, DFT PBE
data_KSb2W
_cell_length_a 6.643
_cell_length_b 6.643
_cell_length_c 6.643
_cell_angle_alpha 151.65
_cell_angle_beta 117.07
_cell_angle_gamma 70.42
_space_group_name_H-M_alt 'P 1'
_space_group_IT_number 1
_space_group_name_Hall 'P 1'
loop_
_atom_site_label
_atom_site_type_symbol
_atom_site_fract_x
_atom_site_fract_y
_atom_site_fract_z
Sb1 Sb 0.948 0.948 0.000
Sb2 Sb 0.552 0.552 0.000
W1 W 0.750 0.250 0.500
K1 K 0.250 0.750 0.500
# SG = No. 71
# N(E_F) = 2.551 states/eV/cell



Which of them is the most stable? Correct choice: <b>.